No. 1
Cs12Br3F5 PBE optimized geometry; M_tot = 0.0 μB/f.u.; N(E_F) = 6.4 states/eV/f.u.; total energy = -237.76 eV for the cell shown
1.0
17.2959 0.0000 0.0000
-5.7653 16.3068 0.0000
-5.7653 -8.1534 14.1221
Cs Br F
48 12 20
direct
0.8163 0.9235 0.3034
0.8929 0.8163 0.5130
0.4235 0.1201 0.6071
0.6071 0.9870 0.6837
0.3799 0.3929 0.0765
0.0130 0.3929 0.8163
0.9235 0.1071 0.6201
0.8163 0.8929 0.0130
0.4870 0.6837 0.1071
0.4870 0.8034 0.8799
0.8034 0.3163 0.9235
0.5130 0.1966 0.1201
0.3163 0.8034 0.4235
0.6201 0.6071 0.9235
0.1201 0.4235 0.1071
0.6966 0.1201 0.0130
0.6837 0.1966 0.5765
0.1966 0.5130 0.6201
0.3929 0.3799 0.5765
0.3034 0.4235 0.8163
0.4235 0.3034 0.3163
0.8929 0.0765 0.8799
0.6837 0.4870 0.6071
0.0765 0.8929 0.3799
0.0765 0.1837 0.1966
0.5765 0.8799 0.3929
0.3034 0.8799 0.9870
0.9870 0.3799 0.3034
0.8799 0.5765 0.8929
0.1201 0.6966 0.5130
0.1071 0.9235 0.1201
0.0130 0.6201 0.6966
0.5130 0.3163 0.8929
0.1837 0.0765 0.6966
0.1071 0.1837 0.4870
0.9235 0.8163 0.8034
0.1837 0.1071 0.9870
0.8799 0.3034 0.4870
0.6201 0.0130 0.1966
0.6966 0.5765 0.1837
0.5765 0.6966 0.6837
0.3163 0.5130 0.3929
0.8034 0.4870 0.3799
0.6071 0.6201 0.4235
0.9870 0.6071 0.1837
0.3799 0.9870 0.8034
0.3929 0.0130 0.3163
0.1966 0.6837 0.0765
0.2500 0.1250 0.3750
0.6250 0.2500 0.3750
0.2500 0.6250 0.8750
0.3750 0.7500 0.6250
0.1250 0.8750 0.7500
0.7500 0.3750 0.1250
0.7500 0.8750 0.6250
0.8750 0.7500 0.1250
0.1250 0.2500 0.8750
0.6250 0.3750 0.7500
0.8750 0.1250 0.2500
0.3750 0.6250 0.2500
0.0000 0.5000 0.0000
0.6250 0.7500 0.8750
0.3750 0.1250 0.7500
0.5000 0.5000 0.5000
0.0000 0.0000 0.0000
0.2500 0.3750 0.6250
0.6250 0.8750 0.2500
0.8750 0.6250 0.7500
0.7500 0.6250 0.3750
0.1250 0.3750 0.2500
0.7500 0.1250 0.8750
0.5000 0.0000 0.5000
0.5000 0.5000 0.0000
0.0000 0.0000 0.5000
0.1250 0.7500 0.3750
0.3750 0.2500 0.1250
0.2500 0.8750 0.1250
0.0000 0.5000 0.5000
0.5000 0.0000 0.0000
0.8750 0.2500 0.6250


No. 2
CuSb2P PBE optimized geometry; M_tot = 0.0 μB/f.u.; N(E_F) = 2.3 states/eV/f.u.; total energy = -16.00 eV for the cell shown
1.0
3.3289 0.1829 0.0000
-0.9217 3.2040 0.0000
0.0000 0.0000 7.5431
Sb Cu P
2 1 1
direct
0.0000 0.0000 0.4878
0.0000 0.0000 0.0122
0.5000 0.5000 0.2500
0.5000 0.5000 0.7500


No. 3
DyNi2Ge4Ru PBE optimized geometry; M_tot = 0.0 μB/f.u.; N(E_F) = 6.3 states/eV/f.u.; formation energy = -0.336 eV/atom; total energy = -46.59 eV for the cell shown
1.0
4.0992 0.0000 0.0000
2.0496 3.5500 0.0000
2.0496 1.1833 8.7752
Ge Ni Dy Ru
4 2 1 1
direct
0.6022 0.6022 0.1934
0.3978 0.3978 0.8066
0.1264 0.1264 0.6209
0.8736 0.8736 0.3791
0.2345 0.2345 0.2966
0.7655 0.7655 0.7034
0.0000 0.0000 0.0000
0.5000 0.5000 0.5000


Which of these has the highest total energy?
CuSb2P


Which value of total energy does entry 1 give?
-237.76 eV for the cell shown